# 1
Here is a relaxed Cd2GaPtI crystal from the Alexandria database. Energies are from GGA-PBE.

Output
V = 140.9 Å³ per cell
Size of the total moment = 0.00 μB per cell
Calculated density = 7.3 g/cm³
E_form (uncorrected) = -0.26 eV/atom

abc: 5.387 5.387 4.857
angles: 90.00 90.00 90.00
Element x y z (fractional)
1 Cd 0.000 0.500 0.000
2 Cd 0.500 0.000 0.000
3 Ga 0.000 0.000 0.500
4 Pt 0.000 0.000 0.000
5 I 0.500 0.500 0.500


# 2
Here is a relaxed Cs4U3SnTe8 crystal from the Alexandria database. Energies are from GGA-PBE.

Output
V = 664.9 Å³ per cell
Size of the total moment = 8.00 μB per cell
Calculated density = 6.0 g/cm³
E_form (uncorrected) = -0.82 eV/atom

abc: 10.352 10.352 10.352
angles: 53.48 53.48 53.48
Element x y z (fractional)
1 Cs 0.000 0.000 0.000
2 Cs 0.000 0.500 0.500
3 Cs 0.500 0.000 0.500
4 Cs 0.500 0.500 0.000
5 U 0.000 0.000 0.500
6 U 0.000 0.500 0.000
7 U 0.500 0.000 0.000
8 Sn 0.500 0.500 0.500
9 Te 0.221 0.734 0.734
10 Te 0.230 0.230 0.230
11 Te 0.266 0.266 0.779
12 Te 0.266 0.779 0.266
13 Te 0.734 0.221 0.734
14 Te 0.734 0.734 0.221
15 Te 0.770 0.770 0.770
16 Te 0.779 0.266 0.266


# 3
Here is a relaxed PrTm2ThS4 crystal from the Alexandria database. Energies are from GGA-PBE.

Output
V = 175.4 Å³ per cell
Size of the total moment = 0.00 μB per cell
Calculated density = 7.9 g/cm³
E_form (uncorrected) = -1.93 eV/atom

abc: 6.772 3.894 7.023
angles: 90.00 108.68 90.00
Element x y z (fractional)
1 Pr 0.000 0.000 0.000
2 Tm 0.000 0.500 0.500
3 Tm 0.500 0.000 0.500
4 Th 0.500 0.500 0.000
5 S 0.244 0.000 0.728
6 S 0.260 0.500 0.274
7 S 0.740 0.500 0.726
8 S 0.756 0.000 0.272


# 4
Here is a relaxed CuRuRh2 crystal from the Alexandria database. Energies are from GGA-PBE.

Output
Polymorph energy (0 for the lowest one) = 0.252 eV/atom
V = 56.6 Å³ per cell
Size of the total moment = 2.94 μB per cell
Calculated density = 10.9 g/cm³

abc: 4.310 4.310 4.310
angles: 60.00 60.00 60.00
Element x y z (fractional)
1 Cu 0.000 0.000 0.000
2 Ru 0.500 0.500 0.500
3 Rh 0.250 0.250 0.250
4 Rh 0.750 0.750 0.750


# 5
Here is a relaxed Tb3Pm2PrTe6 crystal from the Alexandria database. Energies are from GGA-PBE.

Output
V = 368.8 Å³ per cell
Size of the total moment = 0.00 μB per cell
Calculated density = 7.5 g/cm³
E_form (uncorrected) = -1.37 eV/atom

abc: 9.929 9.929 8.936
angles: 103.71 103.71 25.57
Element x y z (fractional)
1 Tb 0.000 0.000 0.000
2 Tb 0.335 0.335 0.667
3 Tb 0.665 0.665 0.333
4 Pm 0.334 0.334 0.168
5 Pm 0.666 0.666 0.832
6 Pr 0.000 0.000 0.500
7 Te 0.165 0.165 0.088
8 Te 0.170 0.170 0.579
9 Te 0.499 0.499 0.758
10 Te 0.501 0.501 0.242
11 Te 0.830 0.830 0.421
12 Te 0.835 0.835 0.912


# 6
Here is a relaxed Mg2Cd2GaAu5 crystal from the Alexandria database. Energies are from GGA-PBE.

Output
E_tot = -54.23 eV per cell
V = 399.3 Å³ per cell
Size of the total moment = 0.00 μB per cell
Calculated density = 11.0 g/cm³

abc: 11.158 11.158 3.207
angles: 90.00 90.00 90.00
Element x y z (fractional)
1 Mg 0.147 0.353 0.000
2 Mg 0.353 0.853 0.000
3 Mg 0.647 0.147 0.000
4 Mg 0.853 0.647 0.000
5 Cd 0.150 0.650 0.000
6 Cd 0.350 0.150 0.000
7 Cd 0.650 0.850 0.000
8 Cd 0.850 0.350 0.000
9 Ga 0.000 0.000 0.000
10 Ga 0.500 0.500 0.000
11 Au 0.000 0.500 0.500
12 Au 0.132 0.146 0.500
13 Au 0.146 0.868 0.500
14 Au 0.354 0.368 0.500
15 Au 0.368 0.646 0.500
16 Au 0.500 0.000 0.500
17 Au 0.632 0.354 0.500
18 Au 0.646 0.632 0.500
19 Au 0.854 0.132 0.500
20 Au 0.868 0.854 0.500